Entry from the Alexandria database: a geometry-optimized RbMn2BeF8 structure (GGA+U).

The structure in extended XYZ format:
```
12
Lattice="4.6538 0.0000 0.0000 0.4259 4.6517 0.0000 0.5358 0.0349 8.1120" Properties=species:S:1:pos:R:3 pbc="T T T"
Rb 0.0000 0.0000 0.0000
Mn 2.8147 2.3666 5.5232
Mn 2.8008 2.3199 2.5888
Be 0.2679 0.0174 4.0560
F 1.5512 3.8817 5.2853
F 1.5067 3.8002 2.7125
F 1.6746 1.3891 3.9872
F 2.1210 1.9871 7.2360
F 3.4945 2.6995 0.8759
F 3.9409 3.2975 4.1247
F 4.1088 0.8864 5.3994
F 4.0643 0.8048 2.8267
```

Output
DFT total energy: -5.4816 eV/atom
V: 14.63 Å³ per atom